No. 1
First-principles (PBE) data for Li3MnCd after structural relaxation, as listed in Alexandria via LeMat-Bulk.

Values from the calculation:
Energy of formation   0.565 eV per atom
Magnetic moment   4.2 μB/f.u.
SG   Pm-3m (221)
Energy above the lowest structure with this stoichiometry   0.00 eV/f.u.

```
5
Lattice="-3.244 3.435 -1.347 -1.793 -3.035 -3.422 -3.225 -1.769 3.258" Properties=species:S:1:pos:R:3 pbc="T T T"
Li -1.622 1.717 -0.673
Li -0.896 -1.518 -1.711
Li -1.612 -0.884 1.629
Cd 0.000 0.000 0.000
Mn -4.131 -0.684 -0.756
```



No. 2
First-principles (PBE) data for LiMn2Cd after structural relaxation, as listed in Alexandria via LeMat-Bulk.

Values from the calculation:
Energy of formation   0.313 eV per atom
Magnetic moment   7.2 μB/f.u.
SG   I4/mmm (139)

```
4
Lattice="5.025 -0.014 0.000 1.975 4.621 0.000 -3.500 -2.303 2.774" Properties=species:S:1:pos:R:3 pbc="T T T"
Li 2.513 -0.007 1.387
Mn 0.000 0.000 0.000
Mn 3.500 2.303 0.000
Cd 0.987 2.310 1.387
```



No. 3
First-principles (PBE) data for LiMn2Cd after structural relaxation, as listed in Alexandria via LeMat-Bulk.

Values from the calculation:
Energy of formation   0.404 eV per atom
Magnetic moment   7.4 μB/f.u.
SG   R-3m (166)

```
4
Lattice="9.712 0.016 0.009 9.287 2.840 0.009 9.287 1.396 2.473" Properties=species:S:1:pos:R:3 pbc="T T T"
Mn 0.085 0.013 0.008
Mn 14.058 2.113 1.238
Cd 7.071 1.063 0.623
Li 21.214 3.189 1.869
```



No. 4
First-principles (PBE) data for LiMn2Cd after structural relaxation, as listed in Alexandria via LeMat-Bulk.

Values from the calculation:
Energy of formation   0.244 eV per atom
Magnetic moment   0.0 μB/f.u.
SG   R3m (160)

```
4
Lattice="9.197 -0.046 -0.027 8.778 2.744 -0.027 8.778 1.317 2.407" Properties=species:S:1:pos:R:3 pbc="T T T"
Mn 6.962 1.045 0.612
Mn 26.576 3.988 2.337
Li 19.897 2.986 1.750
Cd 13.447 2.018 1.183
```



No. 5
First-principles (PBE) data for LiMn2Cd after structural relaxation, as listed in Alexandria via LeMat-Bulk.

Values from the calculation:
Energy of formation   0.312 eV per atom
Magnetic moment   7.2 μB/f.u.
SG   Pmmm (47)

```
4
Lattice="-1.196 2.768 -0.760 -0.094 -1.225 -4.310 -4.271 -1.688 0.573" Properties=species:S:1:pos:R:3 pbc="T T T"
Mn -0.645 0.772 -2.535
Mn 0.000 0.000 0.000
Cd -2.733 0.540 -0.094
Li -2.182 -1.456 -1.869
```



No. 6
First-principles (PBE) data for LiMn2Cd after structural relaxation, as listed in Alexandria via LeMat-Bulk.

Values from the calculation:
Energy of formation   0.362 eV per atom
Magnetic moment   7.4 μB/f.u.
SG   Pmmm (47)

```
4
Lattice="2.817 0.000 0.000 0.000 4.232 0.000 0.000 0.000 5.563" Properties=species:S:1:pos:R:3 pbc="T T T"
Mn 0.000 0.000 2.805
Mn 0.000 0.000 5.539
Cd 1.408 2.116 1.391
Li 1.408 2.116 4.172
```



No. 7
First-principles (PBE) data for LiMn2Cd after structural relaxation, as listed in Alexandria via LeMat-Bulk.

Values from the calculation:
Energy of formation   0.384 eV per atom
Magnetic moment   7.4 μB/f.u.
SG   P4/mmm (123)

```
4
Lattice="-1.210 -2.309 -1.767 1.871 0.846 -2.387 4.599 -4.067 2.163" Properties=species:S:1:pos:R:3 pbc="T T T"
Li 3.780 -3.781 -0.455
Cd 1.480 -1.748 -1.537
Mn 2.444 -2.161 1.149
Mn 4.455 -3.940 2.095
```



No. 8
First-principles (PBE) data for LiMn2Cd after structural relaxation, as listed in Alexandria via LeMat-Bulk.

Values from the calculation:
Energy of formation   0.428 eV per atom
Magnetic moment   7.7 μB/f.u.
SG   Cmmm (65)

```
4
Lattice="2.806 -0.003 0.000 -0.973 2.632 0.000 0.000 0.000 9.328" Properties=species:S:1:pos:R:3 pbc="T T T"
Mn 0.000 0.000 9.253
Mn 0.000 0.000 4.739
Cd 0.917 1.315 2.332
Li 0.917 1.315 6.996
```



Q: Which of these has the highest magnetic moment?
A: number 8